First-principles (PBE-GGA) data for a geometry-optimized LaNiSb2 structure, as listed in the Alexandria database.

Properties
- E_form (uncorrected): -164 meV/atom
- Calculated volume: 394.2 Å³ per cell
- Energy: -4.903 eV per atom
- Total magnetic moment: 0.00 μB per formula unit

Cell: 7.3326 7.3326 7.3326 Å, 90.00 90.00 90.00°
Space group F-43m (No. 216)
One atom of each set of equivalent atoms:
La 0.0000 0.0000 0.0000
Ni 0.2500 0.2500 0.2500
Sb 0.0000 0.0000 0.5000
Sb 0.2500 0.2500 0.7500